[1]
Ta2MoH8 | PBE-GGA | relaxed

a b c (Å): 5.655 5.655 3.196
angles (deg): 106.15 106.15 47.65
Element x y z (fractional)
Ta: 0.168 0.168 0.166
Ta: 0.832 0.832 0.834
Mo: 0.500 0.500 0.500
H: 0.081 0.588 0.336
H: 0.200 0.800 0.000
H: 0.388 0.388 0.890
H: 0.412 0.919 0.664
H: 0.588 0.081 0.336
H: 0.612 0.612 0.110
H: 0.800 0.200 0.000
H: 0.919 0.412 0.664

=====

[2]
TaMoH2 | PBE-GGA | relaxed

a b c (Å): 3.845 3.845 3.845
angles (deg): 60.00 60.00 60.00
Element x y z (fractional)
Ta: 0.000 0.000 0.000
Mo: 0.500 0.500 0.500
H: 0.250 0.250 0.250
H: 0.750 0.750 0.750

Properties
ΔE to the lowest computed polymorph: 611 meV per atom

=====

[3]
TaMoH4 | PBE-GGA | relaxed

a b c (Å): 5.563 3.214 5.468
angles (deg): 90.00 111.66 90.00
Element x y z (fractional)
Ta: 0.000 0.000 0.000
Ta: 0.000 0.500 0.500
Mo: 0.500 0.000 0.500
Mo: 0.500 0.500 0.000
H: 0.204 0.206 0.811
H: 0.204 0.294 0.311
H: 0.322 0.736 0.188
H: 0.322 0.764 0.688
H: 0.678 0.236 0.312
H: 0.678 0.264 0.812
H: 0.796 0.706 0.689
H: 0.796 0.794 0.189

Properties
ΔE to the lowest computed polymorph: 144 meV per atom

=====

[4]
Ta2MoH3 | PBE-GGA | relaxed

a b c (Å): 5.245 5.245 3.056
angles (deg): 106.61 106.61 46.23
Element x y z (fractional)
Ta: 0.165 0.165 0.166
Ta: 0.835 0.835 0.834
Mo: 0.500 0.500 0.500
H: 0.000 0.000 0.500
H: 0.340 0.340 0.841
H: 0.660 0.660 0.159

=====

[5]
Ta2MoH2 | PBE-GGA | relaxed

a b c (Å): 4.748 5.562 5.599
angles (deg): 63.07 65.13 65.10
Element x y z (fractional)
Ta: 0.012 0.238 0.242
Ta: 0.311 0.255 0.595
Ta: 0.689 0.745 0.405
Ta: 0.988 0.762 0.758
Mo: 0.315 0.757 0.090
Mo: 0.685 0.243 0.910
H: 0.412 0.508 0.693
H: 0.435 0.135 0.281
H: 0.565 0.865 0.719
H: 0.588 0.492 0.307

Properties
ΔE to the lowest computed polymorph: 44 meV per atom

=====

[6]
Ta3MoH8 | PBE-GGA | relaxed

a b c (Å): 5.513 5.513 5.513
angles (deg): 131.92 131.92 70.36
Element x y z (fractional)
Ta: 0.000 0.000 0.000
Ta: 0.250 0.750 0.500
Ta: 0.750 0.250 0.500
Mo: 0.500 0.500 0.000
H: 0.130 0.130 0.505
H: 0.130 0.625 0.000
H: 0.375 0.375 0.505
H: 0.375 0.870 0.000
H: 0.625 0.130 0.000
H: 0.625 0.625 0.495
H: 0.870 0.375 0.000
H: 0.870 0.870 0.495

=====

[7]
TaMoH2 | PBE-GGA | relaxed

a b c (Å): 5.524 5.524 5.524
angles (deg): 30.73 30.73 30.73
Element x y z (fractional)
Ta: 0.000 0.000 0.000
Mo: 0.826 0.826 0.826
H: 0.416 0.416 0.416
H: 0.576 0.576 0.576

Properties
ΔE to the lowest computed polymorph: 228 meV per atom

=====

[8]
TaMoH2 | PBE-GGA | relaxed

a b c (Å): 5.402 5.402 5.402
angles (deg): 133.72 133.72 67.52
Element x y z (fractional)
Ta: 0.000 0.000 0.000
Ta: 0.750 0.250 0.500
Mo: 0.250 0.750 0.500
Mo: 0.500 0.500 0.000
H: 0.136 0.625 0.011
H: 0.375 0.386 0.511
H: 0.614 0.125 0.989
H: 0.875 0.864 0.489

Properties
ΔE to the lowest computed polymorph: 0 meV per atom

=====

[9]
Ta2TiMoH | PBE-GGA | relaxed

a b c (Å): 4.496 4.496 3.486
angles (deg): 90.00 90.00 90.00
Element x y z (fractional)
Ta: 0.000 0.500 0.000
Ta: 0.500 0.000 0.000
Ti: 0.000 0.000 0.500
Mo: 0.500 0.500 0.500
H: 0.000 0.000 0.000

=====

[10]
Ta2MoHW | PBE-GGA | relaxed

a b c (Å): 4.557 4.557 3.403
angles (deg): 90.00 90.00 90.00
Element x y z (fractional)
Ta: 0.000 0.500 0.000
Ta: 0.500 0.000 0.000
Mo: 0.000 0.000 0.500
H: 0.000 0.000 0.000
W: 0.500 0.500 0.500

Properties
ΔE to the lowest computed polymorph: 0 meV per atom

=====

[11]
Ta2MoHW | PBE-GGA | relaxed

a b c (Å): 4.552 4.552 3.424
angles (deg): 90.00 90.00 90.00
Element x y z (fractional)
Ta: 0.000 0.500 0.000
Ta: 0.500 0.000 0.000
Mo: 0.000 0.000 0.500
H: 0.500 0.500 0.000
W: 0.500 0.500 0.500

Properties
ΔE to the lowest computed polymorph: 31 meV per atom

=====

[12]
TaZnMo2H | PBE-GGA | relaxed

a b c (Å): 4.010 4.010 4.106
angles (deg): 90.00 90.00 90.00
Element x y z (fractional)
Ta: 0.000 0.000 0.000
Zn: 0.500 0.500 0.000
Mo: 0.000 0.500 0.500
Mo: 0.500 0.000 0.500
H: 0.000 0.000 0.500

=====

[13]
Tc3MoH | PBE-GGA | relaxed

a b c (Å): 4.704 4.704 4.704
angles (deg): 90.00 90.00 90.00
Element x y z (fractional)
Tc: 0.000 0.000 0.500
Tc: 0.000 0.500 0.000
Tc: 0.500 0.000 0.000
Mo: 0.000 0.000 0.000
H: 0.500 0.500 0.500

Properties
ΔE to the lowest computed polymorph: 2323 meV per atom

=====

[14]
Tc2MoH4 | PBE-GGA | relaxed

a b c (Å): 5.601 5.601 5.601
angles (deg): 144.46 144.46 51.15
Element x y z (fractional)
Tc: 0.149 0.149 0.000
Tc: 0.851 0.851 0.000
Mo: 0.500 0.500 0.000
H: 0.000 0.500 0.500
H: 0.321 0.321 0.000
H: 0.500 0.000 0.500
H: 0.679 0.679 0.000

=====

[15]
Tc2MoH2 | PBE-GGA | relaxed

a b c (Å): 5.962 5.962 2.932
angles (deg): 90.00 90.00 90.00
Element x y z (fractional)
Tc: 0.141 0.359 0.000
Tc: 0.359 0.859 0.000
Tc: 0.641 0.141 0.000
Tc: 0.859 0.641 0.000
Mo: 0.000 0.000 0.500
Mo: 0.500 0.500 0.500
H: 0.207 0.707 0.500
H: 0.293 0.207 0.500
H: 0.707 0.793 0.500
H: 0.793 0.293 0.500

Properties
ΔE to the lowest computed polymorph: 142 meV per atom

=====

[16]
TcMo3H | PBE-GGA | relaxed

a b c (Å): 4.700 4.700 4.700
angles (deg): 90.00 90.00 90.00
Element x y z (fractional)
Tc: 0.000 0.000 0.000
Mo: 0.000 0.000 0.500
Mo: 0.000 0.500 0.000
Mo: 0.500 0.000 0.000
H: 0.500 0.500 0.500

Properties
ΔE to the lowest computed polymorph: 2116 meV per atom

=====

[17]
TcMo2H | PBE-GGA | relaxed

a b c (Å): 4.244 4.244 4.244
angles (deg): 60.00 60.00 60.00
Element x y z (fractional)
Tc: 0.000 0.000 0.000
Mo: 0.250 0.250 0.250
Mo: 0.750 0.750 0.750
H: 0.500 0.500 0.500

Properties
ΔE to the lowest computed polymorph: 650 meV per atom

=====

[18]
Tc2MoH2 | PBE-GGA | relaxed

a b c (Å): 6.323 6.323 6.323
angles (deg): 153.26 153.26 38.18
Element x y z (fractional)
Tc: 0.148 0.148 0.000
Tc: 0.852 0.852 0.000
Mo: 0.500 0.500 0.000
H: 0.250 0.750 0.500
H: 0.750 0.250 0.500

Properties
ΔE to the lowest computed polymorph: 0 meV per atom

=====

[19]
TcMo2H | PBE-GGA | relaxed

a b c (Å): 2.805 2.805 6.345
angles (deg): 90.00 90.00 90.00
Element x y z (fractional)
Tc: 0.000 0.000 0.000
Mo: 0.500 0.500 0.299
Mo: 0.500 0.500 0.701
H: 0.000 0.000 0.500

Properties
ΔE to the lowest computed polymorph: 294 meV per atom

=====

[20]
TcMoH3 | PBE-GGA | relaxed

a b c (Å): 3.445 3.445 3.445
angles (deg): 90.00 90.00 90.00
Element x y z (fractional)
Tc: 0.000 0.000 0.000
Mo: 0.500 0.500 0.500
H: 0.000 0.500 0.500
H: 0.500 0.000 0.500
H: 0.500 0.500 0.000

Properties
ΔE to the lowest computed polymorph: 127 meV per atom

=====

[21]
TcMo2H | PBE-GGA | relaxed

a b c (Å): 5.253 5.253 5.253
angles (deg): 100.68 100.68 128.99
Element x y z (fractional)
Tc: 0.000 0.000 0.000
Tc: 0.750 0.250 0.500
Mo: 0.230 0.625 0.105
Mo: 0.375 0.480 0.605
Mo: 0.520 0.125 0.895
Mo: 0.875 0.770 0.395
H: 0.250 0.750 0.500
H: 0.500 0.500 0.000

Properties
ΔE to the lowest computed polymorph: 294 meV per atom

=====

[22]
Tc5MoH4 | PBE-GGA | relaxed

a b c (Å): 6.351 6.351 5.661
angles (deg): 102.83 102.83 25.65
Element x y z (fractional)
Tc: 0.000 0.000 0.000
Tc: 0.329 0.329 0.149
Tc: 0.332 0.332 0.680
Tc: 0.668 0.668 0.320
Tc: 0.671 0.671 0.851
Mo: 0.000 0.000 0.500
H: 0.169 0.169 0.580
H: 0.500 0.500 0.243
H: 0.500 0.500 0.757
H: 0.831 0.831 0.420

=====

[23]
Tc2MoH2 | PBE-GGA | relaxed

a b c (Å): 7.542 7.542 4.835
angles (deg): 90.00 90.00 158.12
Element x y z (fractional)
Tc: 0.000 0.000 0.000
Tc: 0.000 0.000 0.500
Tc: 0.183 0.817 0.748
Tc: 0.817 0.183 0.248
Mo: 0.360 0.640 0.766
Mo: 0.640 0.360 0.266
H: 0.239 0.761 0.116
H: 0.391 0.609 0.371
H: 0.609 0.391 0.871
H: 0.761 0.239 0.616

Properties
ΔE to the lowest computed polymorph: 129 meV per atom

=====

[24]
Tc3MoH | PBE-GGA | relaxed

a b c (Å): 3.951 3.951 3.951
angles (deg): 90.00 90.00 90.00
Element x y z (fractional)
Tc: 0.000 0.000 0.500
Tc: 0.000 0.500 0.000
Tc: 0.500 0.000 0.000
Mo: 0.500 0.500 0.500
H: 0.000 0.000 0.000

Properties
ΔE to the lowest computed polymorph: 0 meV per atom

=====

[25]
Tc8MoH4 | PBE-GGA | relaxed

a b c (Å): 6.923 6.923 9.377
angles (deg): 127.89 127.89 23.56
Element x y z (fractional)
Tc: 0.037 0.037 0.242
Tc: 0.298 0.298 0.425
Tc: 0.332 0.332 0.168
Tc: 0.374 0.374 0.906
Tc: 0.626 0.626 0.094
Tc: 0.668 0.668 0.832
Tc: 0.702 0.702 0.575
Tc: 0.963 0.963 0.758
Mo: 0.000 0.000 0.500
H: 0.144 0.144 0.963
H: 0.333 0.333 0.665
H: 0.667 0.667 0.335
H: 0.856 0.856 0.037

=====

no.,final energy (eV/atom)
1,-5.43
2,-6.71
3,-5.92
4,-7.47
5,-8.36
6,-6.19
7,-7.09
8,-7.32
9,-9.23
10,-10.22
11,-10.19
12,-7.57
13,-6.66
14,-5.90
15,-7.39
16,-6.95
17,-8.11
18,-7.53
19,-8.47
20,-5.68
21,-8.47
22,-7.59
23,-7.40
24,-8.99
25,-8.26